(1)
This record from the Alexandria database describes a relaxed SrP2SF crystal. The functional is PBE.

abc: 4.197 4.197 5.870
angles: 90.00 90.00 90.00
Positions (direct):
P: 0.500 0.000 0.000
P: 0.000 0.500 0.000
Sr: 0.500 0.500 0.500
S: 0.000 0.000 0.500
F: 0.000 0.000 0.000

Computed properties:
N(E_F)	2.93	states/eV/f.u.
symmetry	P4/mmm (123)
E above lowest polymorph	0.00	eV/f.u.



(2)
This record from the Alexandria database describes a relaxed SrP2SF crystal. The functional is PBE.

abc: 5.728 5.728 5.407
angles: 90.00 90.00 90.00
Positions (direct):
F: 0.500 0.500 0.500
P: 0.000 0.500 0.000
P: 0.500 0.000 0.000
S: 0.000 0.000 0.500
Sr: 0.000 0.000 0.000

Computed properties:
N(E_F)	11.29	states/eV/f.u.
symmetry	P4/mmm (123)
E above lowest polymorph	6.33	eV/f.u.



(3)
This record from the Alexandria database describes a relaxed TcPS2F crystal. The functional is PBE.

abc: 4.820 4.820 3.602
angles: 90.00 90.00 90.00
Positions (direct):
S: 0.500 0.000 0.000
S: 0.000 0.500 0.000
F: 0.000 0.000 0.000
Tc: 0.500 0.500 0.500
P: 0.000 0.000 0.500

Computed properties:
N(E_F)	3.42	states/eV/f.u.
symmetry	P4/mmm (123)
E above lowest polymorph	4.03	eV/f.u.



(4)
This record from the Alexandria database describes a relaxed TcPS2F crystal. The functional is PBE.

abc: 4.517 4.517 4.704
angles: 90.00 90.00 90.00
Positions (direct):
S: 0.500 0.000 0.000
S: 0.000 0.500 0.000
F: 0.500 0.500 0.500
P: 0.000 0.000 0.500
Tc: 0.000 0.000 0.000

Computed properties:
N(E_F)	5.25	states/eV/f.u.
symmetry	P4/mmm (123)
E above lowest polymorph	0.00	eV/f.u.



(5)
This record from the Alexandria database describes a relaxed TeP2SF crystal. The functional is PBE.

abc: 4.110 4.110 5.643
angles: 90.00 90.00 90.00
Positions (direct):
P: 0.500 0.000 0.000
P: 0.000 0.500 0.000
S: 0.000 0.000 0.500
F: 0.000 0.000 0.000
Te: 0.500 0.500 0.500

Computed properties:
N(E_F)	3.73	states/eV/f.u.
symmetry	P4/mmm (123)
E above lowest polymorph	0.00	eV/f.u.



(6)
This record from the Alexandria database describes a relaxed TeP2SF crystal. The functional is PBE.

abc: 5.180 5.180 5.001
angles: 90.00 90.00 90.00
Positions (direct):
P: 0.500 0.000 0.000
P: 0.000 0.500 0.000
S: 0.000 0.000 0.500
Te: 0.000 0.000 0.000
F: 0.500 0.500 0.500

Computed properties:
N(E_F)	4.99	states/eV/f.u.
symmetry	P4/mmm (123)
E above lowest polymorph	1.87	eV/f.u.